[1]
DFT (PBE) results for a geometry-optimized CoHgOs2 structure.

```
4
Lattice="-4.312 1.181 -2.051 -3.886 -2.031 2.228 3.913 2.557 1.531" Properties=species:S:1:pos:R:3 pbc="T T T"
Os -4.099 -0.425 0.088
Os 0.000 0.000 0.000
Co -2.036 0.050 1.923
Hg -2.249 1.656 -0.216
```

total energy = -6.63 eV/atom
size of the total moment = 0.000 Bohr magnetons per cell



[2]
DFT (PBE) results for a geometry-optimized CoHgOs2 structure.

```
4
Lattice="5.480 0.045 -0.008 -2.805 4.708 -0.008 0.675 1.199 2.372" Properties=species:S:1:pos:R:3 pbc="T T T"
Hg -1.065 2.954 1.182
Os 0.000 0.000 0.000
Os 1.338 2.376 -0.008
Co 3.077 0.622 1.182
```

total energy = -6.61 eV/atom
size of the total moment = 2.415 Bohr magnetons per cell



[3]
DFT (PBE) results for a geometry-optimized CoHgOs4 structure.

```
6
Lattice="-4.493 -2.084 -1.525 -3.761 3.034 -1.873 -1.199 -0.171 -5.039" Properties=species:S:1:pos:R:3 pbc="T T T"
Os -4.146 0.207 -5.680
Os -5.424 1.805 -4.101
Os -5.789 -0.747 -3.927
Os -3.548 0.292 -3.167
Hg 0.000 0.000 0.000
Co -7.090 0.584 -6.328
```

total energy = -7.69 eV/atom
size of the total moment = 3.601 Bohr magnetons per cell



[4]
DFT (PBE) results for a geometry-optimized CoHgOs2 structure.

```
8
Lattice="-5.876 3.408 2.640 -4.196 -5.546 -2.178 -4.700 -2.178 2.409" Properties=species:S:1:pos:R:3 pbc="T T T"
Hg -7.806 0.080 2.640
Hg 0.000 0.000 0.000
Co -6.966 -4.397 0.231
Co -5.036 -1.069 0.231
Os -5.008 0.681 1.817
Os -12.078 -3.161 2.346
Os -4.896 -3.374 -0.265
Os -7.562 -2.779 1.845
```

total energy = -6.39 eV/atom
size of the total moment = 0.001 Bohr magnetons per cell



[5]
DFT (PBE) results for a geometry-optimized CoHgOs2 structure.

```
4
Lattice="-3.105 -0.935 1.918 -0.398 -2.172 -1.703 2.786 -5.519 1.822" Properties=species:S:1:pos:R:3 pbc="T T T"
Co 1.119 -3.768 -0.024
Os -0.249 -2.327 -1.538
Os -0.977 -2.367 0.965
Hg 0.187 -6.181 0.991
```

total energy = -6.95 eV/atom
size of the total moment = 1.475 Bohr magnetons per cell



[6]
DFT (PBE) results for a geometry-optimized CoHgPOs2 structure.

```
5
Lattice="-3.126 -2.905 -1.235 2.208 -0.609 -4.156 2.386 -3.312 1.752" Properties=species:S:1:pos:R:3 pbc="T T T"
P 0.734 -3.413 -1.819
Os 1.193 -1.656 0.876
Os -1.563 -1.453 -0.617
Co 0.000 0.000 0.000
Hg 1.104 -0.304 -2.078
```

total energy = -5.27 eV/atom
size of the total moment = 0.000 Bohr magnetons per cell